Compound: Ge2AsS2
Source: the Alexandria database
Functional: PBE-GGA
Structure: relaxed

Cell lengths 10.7028, 10.7028, 7.2117 Å; angles 97.99, 97.99, 18.98 degrees
Last column: nearest neighbours and their distance in Å.
Fractional coordinates of all 10 atoms:
Ge 0.1162 0.1162 0.3692  2 S 2.35, 1 As 2.59
Ge 0.3375 0.3375 0.1005  2 S 2.38
Ge 0.6625 0.6625 0.8995  2 S 2.38
Ge 0.8838 0.8838 0.6308  2 S 2.35, 1 As 2.59
As 0.2394 0.2394 0.3815  2 As 2.45, 1 Ge 2.59
As 0.7606 0.7606 0.6185  2 As 2.45, 1 Ge 2.59
S 0.1022 0.1022 0.7394  2 Ge 2.38
S 0.4166 0.4166 0.8382  2 Ge 2.35
S 0.5834 0.5834 0.1618  2 Ge 2.35
S 0.8978 0.8978 0.2606  2 Ge 2.38

Computed properties:
- Raw formation energy: -89.2 meV per atom
- M_tot: 0.00 μB/cell
- Mass density: 3.550 Mg/m³